1.
DFT (PBE) results for YAl2Cl after structural relaxation.

Unit cell a=6.832 b=6.832 c=6.832 alpha=152.26 beta=142.32 gamma=47.43
Sites, in units of the cell vectors:
1 Y 0.250 0.750 0.500
2 Al 0.024 0.024 0.000
3 Al 0.476 0.476 0.000
4 Cl 0.750 0.250 0.500

spin magnetization: 0.000 μB per formula unit
crystal system: orthorhombic
DOS at the Fermi energy: 0.5585 states/eV per atom
uncorrected energy: -0.1631 hartree per atom

=====

2.
DFT (PBE) results for Y2AlCl after structural relaxation.

Unit cell a=5.190 b=5.190 c=5.190 alpha=60.00 beta=60.00 gamma=60.00
Sites, in units of the cell vectors:
1 Y 0.250 0.250 0.250
2 Y 0.750 0.750 0.750
3 Al 0.000 0.000 0.000
4 Cl 0.500 0.500 0.500

spin magnetization: 0.000 μB per formula unit
crystal system: cubic
DOS at the Fermi energy: 0.2192 states/eV per atom
uncorrected energy: -0.1913 hartree per atom

=====

3.
DFT (PBE) results for YAlCl after structural relaxation.

Unit cell a=5.014 b=5.014 c=5.014 alpha=60.00 beta=60.00 gamma=60.00
Last column: magnetic moment on the atom in μB.
Sites, in units of the cell vectors:
1 Y 0.750 0.750 0.750  0.58
2 Al 0.000 0.000 0.000  0.21
3 Cl 0.500 0.500 0.500  0.09

spin magnetization: 2.209 μB per formula unit
crystal system: cubic
DOS at the Fermi energy: 1.2278 states/eV per atom
uncorrected energy: -0.1503 hartree per atom

=====

4.
DFT (PBE) results for YAlCl2 after structural relaxation.

Unit cell a=4.985 b=4.985 c=4.985 alpha=60.00 beta=60.00 gamma=60.00
Last column: magnetic moment on the atom in μB.
Sites, in units of the cell vectors:
1 Y 0.500 0.500 0.500  0.49
2 Al 0.000 0.000 0.000  0.06
3 Cl 0.250 0.250 0.250  0.01
4 Cl 0.750 0.750 0.750  0.01

spin magnetization: 1.240 μB per formula unit
crystal system: cubic
DOS at the Fermi energy: 0.7082 states/eV per atom
uncorrected energy: -0.1527 hartree per atom

=====

5.
DFT (PBE) results for YAl2Cl after structural relaxation.

Unit cell a=5.062 b=3.486 c=5.282 alpha=89.45 beta=90.00 gamma=90.00
Sites, in units of the cell vectors:
1 Y 0.500 0.629 0.723
2 Al 0.000 0.211 0.012
3 Al 0.500 0.128 0.210
4 Cl 0.000 0.532 0.555

spin magnetization: 0.000 μB per formula unit
crystal system: monoclinic
DOS at the Fermi energy: 0.4944 states/eV per atom
uncorrected energy: -0.1602 hartree per atom

=====

6.
DFT (PBE) results for YAlCl2 after structural relaxation.

Unit cell a=6.299 b=6.299 c=6.299 alpha=143.14 beta=143.14 gamma=53.12
Sites, in units of the cell vectors:
1 Y 0.500 0.500 0.000
2 Al 0.750 0.250 0.500
3 Cl 0.000 0.000 0.000
4 Cl 0.250 0.750 0.500

spin magnetization: 0.000 μB per formula unit
crystal system: tetragonal
DOS at the Fermi energy: 0.2720 states/eV per atom
uncorrected energy: -0.1572 hartree per atom